[1]
{"formula": "CuMoPS2", "functional": "PBE", "state": "optimized geometry", "rho_g_cm3": 4.11, "dos_at_fermi_per_ev_cell": 3.8, "e_tot_ev_per_atom": -5.197, "vol_a3_per_fu": 103, "magnetic_moment_mub_per_fu": 0.00, "lattice_angstrom": [[4.6086, 0.0000, 0.0000], [0.0000, 4.6086, 0.0000], [0.0000, 0.0000, 4.8433]], "species": ["Cu", "Mo", "P", "S", "S"], "frac_coords": [[0.0000, 0.0000, 0.0000], [0.5000, 0.5000, 0.5000], [0.5000, 0.5000, 0.0000], [0.0000, 0.5000, 0.5000], [0.5000, 0.0000, 0.5000]]}

=====

[2]
{"formula": "Pa6Tc5Os", "functional": "PBE", "state": "optimized geometry", "rho_g_cm3": 13.41, "dos_at_fermi_per_ev_cell": 12.3, "e_tot_ev_per_atom": -10.114, "vol_a3_per_fu": 256, "formation_enthalpy_0k_mev_per_atom": -111.4, "magnetic_moment_mub_per_fu": 0.00, "lattice_angstrom": [[3.1845, -5.4831, 0.0000], [3.1845, 5.4831, 0.0000], [-2.2454, 0.0000, 7.3264]], "species": ["Pa", "Pa", "Pa", "Pa", "Pa", "Pa", "Tc", "Tc", "Tc", "Tc", "Tc", "Os"], "frac_coords": [[0.0584, 0.4010, 0.7161], [0.2288, 0.2288, 0.1953], [0.4010, 0.0584, 0.7161], [0.5990, 0.9416, 0.2839], [0.7712, 0.7712, 0.8047], [0.9416, 0.5990, 0.2839], [0.0000, 0.0000, 0.5000], [0.2243, 0.7757, 0.0000], [0.3696, 0.6304, 0.5000], [0.6304, 0.3696, 0.5000], [0.7757, 0.2243, 0.0000], [0.5000, 0.5000, 0.0000]]}

=====

[3]
{"formula": "PmScSi2", "functional": "PBE", "state": "optimized geometry", "rho_g_cm3": 4.96, "dos_at_fermi_per_ev_cell": 2.9, "e_tot_ev_per_atom": -6.030, "vol_a3_per_fu": 82, "magnetic_moment_mub_per_fu": 0.00, "lattice_angstrom": [[3.6231, 0.0000, 0.0000], [0.0000, 3.6231, 0.0000], [0.0000, 0.0000, 6.2738]], "species": ["Pm", "Sc", "Si", "Si"], "frac_coords": [[0.0000, 0.0000, 0.0000], [0.0000, 0.0000, 0.5000], [0.5000, 0.5000, 0.3062], [0.5000, 0.5000, 0.6938]]}

=====

[4]
{"formula": "Tm4BiP2", "functional": "PBE", "state": "optimized geometry", "rho_g_cm3": 8.88, "dos_at_fermi_per_ev_cell": 7.9, "e_tot_ev_per_atom": -5.815, "vol_a3_per_fu": 177, "formation_enthalpy_0k_mev_per_atom": -1159.3, "magnetic_moment_mub_per_fu": 0.00, "lattice_angstrom": [[2.0341, -6.5099, 0.0000], [2.0341, 6.5099, 0.0000], [0.0000, 0.0000, 13.3669]], "species": ["Tm", "Tm", "Tm", "Tm", "Tm", "Tm", "Tm", "Tm", "Bi", "Bi", "P", "P", "P", "P"], "frac_coords": [[0.0000, 0.0000, 0.0000], [0.0000, 0.0000, 0.5000], [0.2611, 0.7389, 0.6156], [0.2611, 0.7389, 0.8844], [0.4295, 0.5705, 0.2500], [0.5705, 0.4295, 0.7500], [0.7389, 0.2611, 0.1156], [0.7389, 0.2611, 0.3844], [0.1078, 0.8922, 0.2500], [0.8922, 0.1078, 0.7500], [0.3668, 0.6332, 0.0568], [0.3668, 0.6332, 0.4432], [0.6332, 0.3668, 0.5568], [0.6332, 0.3668, 0.9432]]}

=====

[5]
{"formula": "KCl5F", "functional": "PBE", "state": "optimized geometry", "rho_g_cm3": 1.88, "dos_at_fermi_per_ev_cell": 1.6, "e_tot_ev_per_atom": -2.428, "vol_a3_per_fu": 208, "magnetic_moment_mub_per_fu": 0.00, "lattice_angstrom": [[4.5559, 0.0000, 0.0000], [-1.9206, 6.0915, 0.0000], [-0.1061, -3.1914, 7.5088]], "species": ["K", "Cl", "Cl", "Cl", "Cl", "Cl", "F"], "frac_coords": [[0.0000, 0.0000, 0.0000], [0.4489, 0.7022, 0.5968], [0.4806, 0.5795, 0.3226], [0.5313, 0.0857, 0.3186], [0.5945, 0.2438, 0.6256], [0.6666, 0.3939, 0.9196], [0.4226, 0.8250, 0.8570]]}

=====

[6]
{"formula": "BaSm3Pa4N12", "functional": "PBE", "state": "optimized geometry", "rho_g_cm3": 8.77, "dos_at_fermi_per_ev_cell": 23.0, "e_tot_ev_per_atom": -8.813, "vol_a3_per_fu": 318, "magnetic_moment_mub_per_fu": 0.01, "lattice_angstrom": [[-4.3012, 4.3012, 4.3012], [4.3012, -4.3012, 4.3012], [4.3012, 4.3012, -4.3012]], "species": ["Ba", "Sm", "Sm", "Sm", "Pa", "Pa", "Pa", "Pa", "N", "N", "N", "N", "N", "N", "N", "N", "N", "N", "N", "N"], "frac_coords": [[0.0000, 0.0000, 0.0000], [0.0000, 0.5000, 0.5000], [0.5000, 0.0000, 0.5000], [0.5000, 0.5000, 0.0000], [0.0000, 0.0000, 0.5000], [0.0000, 0.5000, 0.0000], [0.5000, 0.0000, 0.0000], [0.5000, 0.5000, 0.5000], [0.0962, 0.3012, 0.7950], [0.2050, 0.5062, 0.3012], [0.2050, 0.9038, 0.6988], [0.3012, 0.2050, 0.5062], [0.3012, 0.7950, 0.0962], [0.4938, 0.6988, 0.7950], [0.5062, 0.3012, 0.2050], [0.6988, 0.2050, 0.9038], [0.6988, 0.7950, 0.4938], [0.7950, 0.0962, 0.3012], [0.7950, 0.4938, 0.6988], [0.9038, 0.6988, 0.2050]]}

=====

[7]
{"formula": "Rb4Nd3AlO8", "functional": "PBE", "state": "optimized geometry", "rho_g_cm3": 5.31, "dos_at_fermi_per_ev_cell": 0.0, "e_tot_ev_per_atom": -6.198, "vol_a3_per_fu": 291, "magnetic_moment_mub_per_fu": 0.00, "lattice_angstrom": [[6.3018, -3.4827, 0.0000], [6.3018, 3.4827, 0.0000], [-3.9460, 0.0000, 6.6215]], "species": ["Rb", "Rb", "Rb", "Rb", "Nd", "Nd", "Nd", "Al", "O", "O", "O", "O", "O", "O", "O", "O"], "frac_coords": [[0.0000, 0.0000, 0.0000], [0.0000, 0.5000, 0.0000], [0.5000, 0.0000, 0.0000], [0.5000, 0.5000, 0.0000], [0.0000, 0.0000, 0.5000], [0.0000, 0.5000, 0.5000], [0.5000, 0.0000, 0.5000], [0.5000, 0.5000, 0.5000], [0.2198, 0.2198, 0.6826], [0.2417, 0.2417, 0.2874], [0.2729, 0.6808, 0.6520], [0.3192, 0.7271, 0.3480], [0.6808, 0.2729, 0.6520], [0.7271, 0.3192, 0.3480], [0.7583, 0.7583, 0.7126], [0.7802, 0.7802, 0.3174]]}

=====

[8]
{"formula": "FeTc2Ir", "functional": "PBE", "state": "optimized geometry", "rho_g_cm3": 13.38, "dos_at_fermi_per_ev_cell": 4.1, "e_tot_ev_per_atom": -9.543, "vol_a3_per_fu": 55, "formation_enthalpy_0k_mev_per_atom": -28.7, "magnetic_moment_mub_per_fu": 1.39, "lattice_angstrom": [[-1.9081, 1.9081, 3.7836], [1.9081, -1.9081, 3.7836], [1.9081, 1.9081, -3.7836]], "species": ["Fe", "Tc", "Tc", "Ir"], "frac_coords": [[0.0000, 0.0000, 0.0000], [0.5000, 0.5000, 0.0000], [0.7500, 0.2500, 0.5000], [0.2500, 0.7500, 0.5000]]}

=====

[9]
{"formula": "ScP2Rh", "functional": "PBE", "state": "optimized geometry", "rho_g_cm3": 4.87, "dos_at_fermi_per_ev_cell": 2.3, "e_tot_ev_per_atom": -6.560, "vol_a3_per_fu": 72, "formation_enthalpy_0k_mev_per_atom": -434.3, "magnetic_moment_mub_per_fu": 0.00, "lattice_angstrom": [[3.0124, 0.0000, 0.0000], [0.0000, 3.0124, 0.0000], [0.0000, 0.0000, 7.8884]], "species": ["Sc", "P", "P", "Rh"], "frac_coords": [[0.0000, 0.0000, 0.0000], [0.0000, 0.0000, 0.5915], [0.5000, 0.5000, 0.2132], [0.5000, 0.5000, 0.7342]]}

=====

[10]
{"formula": "Sc2TcRh", "functional": "PBE", "state": "optimized geometry", "rho_g_cm3": 7.02, "dos_at_fermi_per_ev_cell": 2.8, "e_tot_ev_per_atom": -8.050, "vol_a3_per_fu": 69, "formation_enthalpy_0k_mev_per_atom": -454.7, "magnetic_moment_mub_per_fu": 0.00, "lattice_angstrom": [[-1.6174, 2.2010, 4.8283], [1.6174, -2.2010, 4.8283], [1.6174, 2.2010, -4.8283]], "species": ["Sc", "Sc", "Tc", "Rh"], "frac_coords": [[0.0000, 0.0000, 0.0000], [0.7285, 0.2285, 0.5000], [0.2488, 0.7488, 0.5000], [0.4790, 0.4790, 0.0000]]}

=====

[11]
{"formula": "Np2HgIr", "functional": "PBE", "state": "optimized geometry", "rho_g_cm3": 16.06, "dos_at_fermi_per_ev_cell": 9.6, "e_tot_ev_per_atom": -8.799, "vol_a3_per_fu": 90, "formation_enthalpy_0k_mev_per_atom": -37.9, "magnetic_moment_mub_per_fu": 8.17, "lattice_angstrom": [[3.2549, 0.0000, 0.0000], [0.0000, 3.2549, 0.0000], [0.0000, 0.0000, 8.4586]], "species": ["Np", "Np", "Hg", "Ir"], "frac_coords": [[0.0000, 0.0000, 0.2136], [0.0000, 0.0000, 0.7864], [0.5000, 0.5000, 0.5000], [0.5000, 0.5000, 0.0000]]}

=====

[12]
{"formula": "SrCu4Ir", "functional": "PBE", "state": "optimized geometry", "rho_g_cm3": 9.56, "dos_at_fermi_per_ev_cell": 3.6, "e_tot_ev_per_atom": -4.369, "vol_a3_per_fu": 93, "formation_enthalpy_0k_mev_per_atom": 118.8, "magnetic_moment_mub_per_fu": 0.00, "lattice_angstrom": [[0.0000, 3.5934, 3.5934], [3.5934, 0.0000, 3.5934], [3.5934, 3.5934, 0.0000]], "species": ["Sr", "Cu", "Cu", "Cu", "Cu", "Ir"], "frac_coords": [[0.0000, 0.0000, 0.0000], [0.1298, 0.6234, 0.6234], [0.6234, 0.1298, 0.6234], [0.6234, 0.6234, 0.1298], [0.6234, 0.6234, 0.6234], [0.2500, 0.2500, 0.2500]]}